[1]
Material: LiPrThSn
Method: DFT, GGA-PBE
State: optimized geometry

Geometry as extended XYZ:
```
4
Lattice="0.0000 3.8225 3.8225 3.8225 0.0000 3.8225 3.8225 3.8225 0.0000" Properties=species:S:1:pos:R:3 pbc="T T T"
Li 0.0000 0.0000 0.0000
Pr 1.9112 1.9112 1.9112
Th 5.7337 5.7337 5.7337
Sn 3.8225 3.8225 3.8225
```

Values from the calculation:
formation enthalpy at 0 K: -258 meV/atom
V: 27.9 Å³/atom
space-group type: F-43m (216)

=====

[2]
Material: Li2PrTh2Sn2
Method: DFT, GGA-PBE
State: optimized geometry

Geometry as extended XYZ:
```
7
Lattice="2.4203 1.3973 9.2522 -2.4203 1.3973 9.2522 0.0000 -2.7947 9.2522" Properties=species:S:1:pos:R:3 pbc="T T T"
Li 0.0000 0.0000 2.6131
Li 0.0000 0.0000 25.1434
Pr 0.0000 0.0000 13.8783
Th 0.0000 0.0000 10.2152
Th 0.0000 0.0000 17.5414
Sn 0.0000 0.0000 6.5687
Sn 0.0000 0.0000 21.1878
```

Values from the calculation:
formation enthalpy at 0 K: -298 meV/atom
V: 26.8 Å³/atom
space-group type: R-3m (166)

=====

[3]
Material: LiPrTlSn
Method: DFT, GGA-PBE
State: optimized geometry

Geometry as extended XYZ:
```
4
Lattice="4.5658 0.0000 0.0000 0.0000 4.6650 0.0000 0.0000 0.0000 4.8909" Properties=species:S:1:pos:R:3 pbc="T T T"
Li 0.0000 0.0000 0.0000
Pr 0.0000 2.3325 2.4454
Tl 2.2829 2.3325 0.0000
Sn 2.2829 0.0000 2.4454
```

Values from the calculation:
formation enthalpy at 0 K: -456 meV/atom
V: 26.0 Å³/atom
space-group type: Pmmm (47)
energy above the most stable polymorph in this dataset: 0 meV/atom